Entry from the Alexandria database: Pm3H after structural relaxation (PBE-GGA).

Results
Fermi-level density of states = 0.842 states/eV/atom
Calculated density = 6.24 g/cm3
E above lowest polymorph = 0.231 eV/atom
Volume = 28.994 A^3/atom

Cell: 3.794 4.812 6.353 Å, 90.00 90.00 90.00°
Space group Pmm2 (No. 25)
Inequivalent atoms, fractional coordinates:
Pm 0.000 0.000 0.000 [1 per cell]
Pm 0.000 0.500 0.350 [1 per cell]
Pm 0.500 0.000 0.563 [1 per cell]
H 0.500 0.500 0.536 [1 per cell]